No. 1
The following is a DFT calculation (PBE-GGA) of crystalline KSc4Fe at its relaxed geometry.

a = 6.1161 Å, b = 6.1161 Å, c = 6.1161 Å
α = 60.00°, β = 60.00°, γ = 60.00°
With the nearest neighbours (Å) after each atom.
Element x y z (fractional)
K: 0.0000 0.0000 0.0000  12 Sc 3.59, 4 Fe 3.75
Sc: 0.8651 0.3783 0.3783  6 Sc 2.98-3.14
Sc: 0.3783 0.3783 0.8651  6 Sc 2.98-3.14
Sc: 0.3783 0.8651 0.3783  6 Sc 2.98-3.14
Sc: 0.3783 0.3783 0.3783  6 Sc 2.98-3.14
Fe: 0.7500 0.7500 0.7500  12 Sc 3.58, 4 K 3.75

total magnetic moment: 0.48 μB/atom
V: 26.96 A^3/atom
formation enthalpy at 0 K: 0.85 eV/atom



No. 2
The following is a DFT calculation (PBE-GGA) of crystalline PrTlSb2 at its relaxed geometry.

a = 4.4750 Å, b = 4.4750 Å, c = 12.3170 Å
α = 90.18°, β = 90.18°, γ = 90.22°
With the nearest neighbours (Å) after each atom.
Element x y z (fractional)
Pr: 0.9983 0.9983 0.7967  8 Sb 3.30-3.36
Pr: 0.0017 0.0017 0.2033  8 Sb 3.30-3.36
Tl: 0.2439 0.7561 0.5000  4 Tl 3.09-3.25, 2 Sb 3.15
Tl: 0.7561 0.2439 0.5000  4 Tl 3.09-3.25, 2 Sb 3.15
Sb: 0.5022 0.5022 0.2808  2 Tl 3.15, 4 Pr 3.30-3.31
Sb: 0.4978 0.4978 0.7192  2 Tl 3.15, 4 Pr 3.30-3.31
Sb: 0.5000 0.0000 0.0000  4 Sb 3.16-3.17, 4 Pr 3.36
Sb: 0.0000 0.5000 0.0000  4 Sb 3.16-3.17, 4 Pr 3.36

total magnetic moment: 0.00 μB/atom
V: 30.83 A^3/atom
ΔE to the lowest computed polymorph: 10.6 meV per atom



No. 3
The following is a DFT calculation (PBE-GGA) of crystalline LiEr4Rh2 at its relaxed geometry.

a = 6.6404 Å, b = 6.8964 Å, c = 8.7267 Å
α = 117.36°, β = 113.98°, γ = 81.76°
With the nearest neighbours (Å) after each atom.
Element x y z (fractional)
Li: 0.1368 0.7909 0.5737  2 Rh 2.67-2.81, 2 Er 2.94-2.97
Li: 0.9668 0.9826 0.9361  1 Rh 2.74, 3 Er 2.94-2.99
Er: 0.8524 0.0199 0.2746  4 Rh 2.78-3.11
Er: 0.2985 0.5982 0.2287  3 Rh 2.80-2.94
Er: 0.7362 0.5805 0.6056  3 Rh 2.81-3.01, 1 Li 2.94
Er: 0.0355 0.2514 0.7712  4 Rh 2.74-3.06, 2 Li 2.97-2.99
Er: 0.3532 0.1300 0.2952  3 Rh 2.77-2.92, 1 Li 2.95
Er: 0.5146 0.1575 0.7224  3 Rh 2.76-3.02
Er: 0.4022 0.6971 0.8940  3 Rh 2.81-3.00, 1 Li 2.94
Er: 0.7978 0.4773 0.2008  4 Rh 2.85-3.18, 1 Li 3.05
Rh: 0.8850 0.6330 0.9755  6 Er 2.74-3.00, 1 Li 2.74
Rh: 0.6886 0.8835 0.4625  7 Er 2.76-3.06, 1 Li 2.81
Rh: 0.4395 0.1653 0.0242  6 Er 2.77-2.94
Rh: 0.1430 0.3828 0.5355  1 Li 2.67, 4 Er 2.78-2.94

total magnetic moment: 0.00 μB/atom
V: 23.13 A^3/atom
ΔE to the lowest computed polymorph: 34.2 meV per atom
formation enthalpy at 0 K: -0.54 eV/atom



No. 4
The following is a DFT calculation (PBE-GGA) of crystalline Rb3Ce3PmTe8 at its relaxed geometry.

a = 9.1975 Å, b = 9.1971 Å, c = 10.1572 Å
α = 116.91°, β = 89.98°, γ = 120.02°
With the nearest neighbours (Å) after each atom.
Element x y z (fractional)
Rb: 0.0000 0.0000 0.0000  6 Te 3.70-3.72
Rb: 0.0000 0.5000 0.0000  6 Te 3.70-3.72
Rb: 0.5000 0.5000 0.0000  6 Te 3.70-3.72
Ce: 0.5000 0.0000 0.5000  6 Te 3.16-3.18
Ce: 0.5000 0.5000 0.5000  6 Te 3.16-3.18
Ce: 0.0000 0.5000 0.5000  6 Te 3.16-3.18
Pm: 0.0000 0.0000 0.5000  6 Te 3.19
Te: 0.2657 0.5315 0.2972  3 Ce 3.18
Te: 0.7343 0.4685 0.7028  3 Ce 3.18
Te: 0.7654 0.5308 0.3000  2 Ce 3.16, 1 Pm 3.19
Te: 0.2346 0.4692 0.7000  2 Ce 3.16, 1 Pm 3.19
Te: 0.7654 0.0347 0.3000  2 Ce 3.16, 1 Pm 3.19
Te: 0.2346 0.9653 0.7000  2 Ce 3.16, 1 Pm 3.19
Te: 0.2693 0.0347 0.3000  2 Ce 3.16, 1 Pm 3.19
Te: 0.7307 0.9653 0.7000  2 Ce 3.16, 1 Pm 3.19

total magnetic moment: 0.13 μB/atom
final energy: -70.7 eV/cell
V: 42.29 A^3/atom



No. 5
The following is a DFT calculation (PBE-GGA) of crystalline Ac6SiGe2Te3 at its relaxed geometry.

a = 4.6585 Å, b = 9.4745 Å, c = 10.5514 Å
α = 104.18°, β = 102.75°, γ = 90.00°
With the nearest neighbours (Å) after each atom.
Element x y z (fractional)
Ac: 0.3399 0.9030 0.6797  1 Si 3.19, 2 Ge 3.21, 3 Te 3.45-3.46
Ac: 0.6724 0.5685 0.3448  3 Ge 3.21, 3 Te 3.44-3.45
Ac: 0.6601 0.0970 0.3203  1 Si 3.19, 2 Ge 3.21, 3 Te 3.45-3.46
Ac: 0.0057 0.2337 0.0113  2 Si 3.20, 1 Ge 3.21, 3 Te 3.45-3.46
Ac: 0.9943 0.7663 0.9887  2 Si 3.20, 1 Ge 3.21, 3 Te 3.45-3.46
Ac: 0.3276 0.4315 0.6552  3 Ge 3.21, 3 Te 3.44-3.45
Si: 0.5000 0.0000 0.0000  6 Ac 3.19-3.20
Ge: 0.8334 0.6672 0.6668  6 Ac 3.21
Ge: 0.1666 0.3328 0.3332  6 Ac 3.21
Te: 0.5000 0.5000 0.0000  6 Ac 3.44-3.46
Te: 0.8332 0.1669 0.6664  6 Ac 3.45-3.46
Te: 0.1668 0.8331 0.3336  6 Ac 3.45-3.46

total magnetic moment: 0.00 μB/atom
final energy: -62.8 eV/cell
V: 36.64 A^3/atom



No. 6
The following is a DFT calculation (PBE-GGA) of crystalline Pr3Sn2Pt7 at its relaxed geometry.

a = 4.1365 Å, b = 4.2489 Å, c = 15.6522 Å
α = 97.80°, β = 90.00°, γ = 90.00°
With the nearest neighbours (Å) after each atom.
Element x y z (fractional)
Pr: 0.5000 0.5000 0.0000  4 Pt 2.96
Pr: 0.5000 0.7056 0.4111  10 Pt 2.96-3.30
Pr: 0.5000 0.2944 0.5889  10 Pt 2.96-3.30
Sn: 0.0000 0.9156 0.8312  5 Pt 2.62-2.68
Sn: 0.0000 0.0844 0.1688  5 Pt 2.62-2.68
Pt: 0.0000 0.3629 0.7257  2 Sn 2.68, 2 Pr 2.96, 4 Pt 2.97
Pt: 0.0000 0.7885 0.5771  6 Pr 2.97-3.30, 6 Pt 3.06-3.20
Pt: 0.0000 0.0000 0.0000  2 Sn 2.62
Pt: 0.0000 0.6371 0.2743  2 Sn 2.68, 2 Pr 2.96, 4 Pt 2.97
Pt: 0.5000 0.1388 0.2777  2 Sn 2.67, 4 Pt 2.97, 2 Pr 2.97
Pt: 0.5000 0.8612 0.7223  2 Sn 2.67, 4 Pt 2.97, 2 Pr 2.97
Pt: 0.0000 0.2115 0.4229  6 Pr 2.97-3.30, 6 Pt 3.06-3.20

total magnetic moment: 0.00 μB/atom
V: 22.71 A^3/atom
ΔE to the lowest computed polymorph: 32.8 meV per atom
formation enthalpy at 0 K: -0.73 eV/atom



No. 7
The following is a DFT calculation (PBE-GGA) of crystalline Ta2TeMoC at its relaxed geometry.

a = 5.1146 Å, b = 5.1146 Å, c = 3.9940 Å
α = 90.00°, β = 90.00°, γ = 90.00°
With the nearest neighbours (Å) after each atom.
Element x y z (fractional)
Mo: 0.5000 0.5000 0.5000  8 Ta 3.24, 4 C 3.62
Te: 0.0000 0.0000 0.0000  2 C 2.00
C: 0.0000 0.0000 0.5000  2 Te 2.00
Ta: 0.0000 0.5000 0.0000  2 Te 2.56
Ta: 0.5000 0.0000 0.0000  2 Te 2.56

total magnetic moment: 0.00 μB/atom
final energy: -34.6 eV/cell
V: 20.90 A^3/atom



No. 8
The following is a DFT calculation (PBE-GGA) of crystalline CaSi2Ni at its relaxed geometry.

a = 6.2807 Å, b = 6.2807 Å, c = 6.2807 Å
α = 146.86°, β = 146.66°, γ = 47.72°
With the nearest neighbours (Å) after each atom.
Element x y z (fractional)
Ca: 0.5430 0.5430 0.0000  6 Si 2.98-3.13, 2 Ni 3.30
Ni: 0.2838 0.7838 0.5000  6 Si 2.29-2.55
Si: 0.9068 0.9068 0.0000  2 Ni 2.29, 2 Si 2.41
Si: 0.7664 0.2664 0.5000  2 Si 2.41, 4 Ni 2.55

total magnetic moment: 0.00 μB/atom
final energy: -19.6 eV/cell
V: 18.54 A^3/atom



Which of these has the highest total magnetic moment?
KSc4Fe